1.
Here is a PBEsol-optimized structure of Al2TeP from Alexandria. Energies are from SCAN.

Cell: 6.2206 6.2206 6.2206 Å, 144.59 144.59 50.94°
Fractional coordinates of all 4 atoms:
Al  0.0000  0.0000  0.0000
Al  0.7500  0.2500  0.5000
Te  0.2500  0.7500  0.5000
P  0.5000  0.5000  0.0000

Results
Formation energy from raw total energies = 0.30 eV/atom



2.
Here is a PBEsol-optimized structure of TlSn3 from Alexandria. Energies are from SCAN.

Cell: 6.6172 6.6172 5.6276 Å, 90.00 90.00 120.00°
Fractional coordinates of all 8 atoms:
Tl  0.3333  0.6667  0.2500
Tl  0.6667  0.3333  0.7500
Sn  0.1631  0.3263  0.7500
Sn  0.1631  0.8369  0.7500
Sn  0.3263  0.1631  0.2500
Sn  0.6737  0.8369  0.7500
Sn  0.8369  0.1631  0.2500
Sn  0.8369  0.6737  0.2500

Results
ΔH_f (0 K) = 0.7 eV per formula unit



3.
Here is a PBEsol-optimized structure of Cd2InPb from Alexandria. Energies are from SCAN.

Cell: 3.2788 3.2788 9.0115 Å, 90.00 90.00 90.00°
Fractional coordinates of all 4 atoms:
Cd  0.0000  0.0000  0.0000
Cd  0.5000  0.5000  0.2149
In  0.0000  0.0000  0.4570
Pb  0.5000  0.5000  0.7414

Results
E above lowest polymorph = 0.0 meV per atom
ΔH_f (0 K) = 0.3 eV per formula unit



4.
Here is a PBEsol-optimized structure of CuOsRh from Alexandria. Energies are from SCAN.

Cell: 7.0431 6.8054 2.6233 Å, 84.23 74.02 21.75°
Fractional coordinates of all 3 atoms:
Cu  0.0000  0.0000  0.0000
Os  0.6658  0.6658  0.3342
Rh  0.3357  0.3357  0.6643

Results
ΔH_f (0 K) = 1.2 eV per formula unit



5.
Here is a PBEsol-optimized structure of HfTi3Cl from Alexandria. Energies are from SCAN.

Cell: 4.8967 4.8967 4.8967 Å, 90.00 90.00 90.00°
Fractional coordinates of all 5 atoms:
Hf  0.0000  0.0000  0.0000
Ti  0.0000  0.0000  0.5000
Ti  0.0000  0.5000  0.0000
Ti  0.5000  0.0000  0.0000
Cl  0.5000  0.5000  0.5000

Results
Formation energy from raw total energies = 1.23 eV/atom



6.
Here is a PBEsol-optimized structure of Cd3GaHg from Alexandria. Energies are from SCAN.

Cell: 5.0904 5.0904 5.0904 Å, 90.00 90.00 90.00°
Fractional coordinates of all 5 atoms:
Cd  0.0000  0.0000  0.5000
Cd  0.0000  0.5000  0.0000
Cd  0.5000  0.0000  0.0000
Ga  0.0000  0.0000  0.0000
Hg  0.5000  0.5000  0.5000

Results
ΔH_f (0 K) = 0.9 eV per formula unit